Entry 1:
## SrPb2Se (PBE)

Data for a geometry-optimized SrPb2Se structure.

Cell lengths 9.6641, 9.6641, 9.6641 Å; angles 24.31, 24.31, 24.31 degrees
Closest atoms and distances in Å follow each position.
Positions (direct):
Sr: 0.7500 0.7500 0.7500  6 Pb 3.63, 6 Sr 4.07
Se: 0.2500 0.2500 0.2500  6 Pb 3.03
Pb: 0.5153 0.5153 0.5153  3 Se 3.03
Pb: 0.9847 0.9847 0.9847  3 Se 3.03

formation energy without anion corrections = -0.21 eV/atom
DOS at the Fermi energy = 2.670 states/eV per cell

=====

Entry 2:
## Pr3In4Rh4 (PBE)

Data for a geometry-optimized Pr3In4Rh4 structure.

Cell lengths 4.0700, 8.0357, 8.8302 Å; angles 117.07, 103.32, 90.00 degrees
Closest atoms and distances in Å follow each position.
Positions (direct):
Rh: 0.5000 0.7981 0.0000  2 In 2.73
Rh: 0.5000 0.2019 0.0000  2 In 2.73
Rh: 0.7690 0.2690 0.5380  6 In 2.73-2.87
Rh: 0.2310 0.7310 0.4620  6 In 2.73-2.87
In: 0.6712 0.4760 0.3423  4 Rh 2.73-2.87
In: 0.3288 0.5240 0.6577  4 Rh 2.73-2.87
In: 0.6712 0.8663 0.3423  4 Rh 2.73-2.87
In: 0.3288 0.1337 0.6577  4 Rh 2.73-2.87
Pr: 0.0000 0.5000 0.0000  6 Rh 3.14-3.51
Pr: 0.1155 0.1155 0.2310  6 Rh 3.10-3.14, 4 In 3.29
Pr: 0.8845 0.8845 0.7690  6 Rh 3.10-3.14, 4 In 3.29

calculated formation energy = -0.59 eV per atom
DOS at the Fermi energy = 7.423 states/eV per cell

=====

Entry 3:
## SrBi2Au6 (PBE)

Data for a geometry-optimized SrBi2Au6 structure.

Cell lengths 4.0298, 8.3304, 8.3304 Å; angles 55.59, 75.82, 75.82 degrees
Closest atoms and distances in Å follow each position.
Positions (direct):
Au: 0.5000 0.3139 0.6861  3 Au 2.73-2.89
Au: 0.3207 0.3633 0.9955  4 Au 2.73-3.02, 1 Bi 2.92
Au: 0.6792 0.6367 0.0045  4 Au 2.73-3.02, 1 Bi 2.92
Au: 0.3207 0.9955 0.3633  4 Au 2.73-3.02, 1 Bi 2.92
Au: 0.5000 0.6861 0.3139  3 Au 2.73-2.89
Au: 0.6792 0.0045 0.6367  4 Au 2.73-3.02, 1 Bi 2.92
Bi: 0.1413 0.3589 0.3589  10 Au 2.92-3.22
Bi: 0.8587 0.6411 0.6411  10 Au 2.92-3.22
Sr: 0.0000 0.0000 0.0000  8 Au 3.16-3.54

calculated formation energy = -0.23 eV per atom
DOS at the Fermi energy = 3.625 states/eV per cell